[1]
Compound: Zn2RuBr
Source: Alexandria
Functional: PBE
Structure: optimized geometry

Structure (CIF):
```
data_Zn2RuBr
_symmetry_space_group_name_H-M 'P 1'
_symmetry_Int_Tables_number 1
_symmetry_space_group_name_Hall 'P 1'
_cell_length_a 4.5906
_cell_length_b 4.5906
_cell_length_c 4.5906
_cell_angle_alpha 60.00
_cell_angle_beta 60.00
_cell_angle_gamma 60.00
loop_
_atom_site_label
_atom_site_type_symbol
_atom_site_fract_x
_atom_site_fract_y
_atom_site_fract_z
_atom_site_occupancy
Zn1 Zn 0.2500 0.2500 0.2500 1
Zn2 Zn 0.7500 0.7500 0.7500 1
Ru1 Ru 0.0000 0.0000 0.0000 1
Br1 Br 0.5000 0.5000 0.5000 1
```

Output
ΔE to the lowest computed polymorph = 592 meV/atom
Uncorrected formation energy = 0.7111 eV/atom
Space group = Fm-3m (225)



[2]
Compound: ScAlIn2
Source: Alexandria
Functional: PBE
Structure: optimized geometry

Structure (CIF):
```
data_ScAlIn2
_symmetry_space_group_name_H-M 'P 1'
_symmetry_Int_Tables_number 1
_symmetry_space_group_name_Hall 'P 1'
_cell_length_a 3.3639
_cell_length_b 4.2756
_cell_length_c 6.1169
_cell_angle_alpha 90.00
_cell_angle_beta 90.00
_cell_angle_gamma 90.00
loop_
_atom_site_label
_atom_site_type_symbol
_atom_site_fract_x
_atom_site_fract_y
_atom_site_fract_z
_atom_site_occupancy
Sc1 Sc 0.0000 0.0000 0.0000 1
Al1 Al 0.0000 0.0000 0.5000 1
In1 In 0.5000 0.5000 0.2524 1
In2 In 0.5000 0.5000 0.7476 1
```

Output
Calculated formation energy = -150 meV/atom
Space group = Pmmm (47)